VASP calculation (GGA-PBE) on a relaxed structure of Sn6SeS5.

Lattice parameters (Å, degrees): 7.1995 7.1995 7.2031 99.61 99.61 120.12
Fractional coordinates of all 12 atoms:
Sn1 0.0759 0.4158 0.7483
Sn2 0.2459 0.2459 0.2567
Sn3 0.4158 0.0759 0.7483
Sn4 0.5842 0.9241 0.2517
Sn5 0.7541 0.7541 0.7433
Sn6 0.9241 0.5842 0.2517
Se1 0.5000 0.5000 0.0000
S1 0.0000 0.0000 0.5000
S2 0.1689 0.8311 0.0000
S3 0.3370 0.6630 0.5000
S4 0.6630 0.3370 0.5000
S5 0.8311 0.1689 0.0000

Final energy = -4.42 eV per atom
Mass density = 5.19 Mg/m³
Formation energy (no corrections) = -0.4041 eV per atom
Magnetization = 0.00 μB per cell

***

VASP calculation (GGA-PBE) on a relaxed structure of SnSeS2.

Lattice parameters (Å, degrees): 3.9458 5.9772 5.0242 90.00 110.85 90.00
Fractional coordinates of all 4 atoms:
Sn1 0.0000 0.0000 0.0000
Se1 0.9334 0.5000 0.9644
S1 0.3717 0.5000 0.6927
S2 0.6556 0.0000 0.3442

Energy above the lowest structure with this stoichiometry = 143 meV/atom
Final energy = -3.93 eV per atom
Mass density = 3.93 Mg/m³
Formation energy (no corrections) = 0.0007 eV per atom
Magnetization = 0.00 μB per cell

***

VASP calculation (GGA-PBE) on a relaxed structure of Sn2SeS2.

Lattice parameters (Å, degrees): 9.4853 3.8650 14.3854 90.00 90.00 90.00
Fractional coordinates of all 20 atoms:
Sn1 0.0419 0.2500 0.1731
Sn2 0.1577 0.2500 0.5509
Sn3 0.3423 0.7500 0.0509
Sn4 0.4581 0.7500 0.6731
Sn5 0.5419 0.2500 0.3269
Sn6 0.6577 0.2500 0.9491
Sn7 0.8423 0.7500 0.4491
Sn8 0.9581 0.7500 0.8269
Se1 0.1646 0.2500 0.9895
Se2 0.3354 0.7500 0.4895
Se3 0.6646 0.2500 0.5105
Se4 0.8354 0.7500 0.0105
S1 0.0149 0.2500 0.3952
S2 0.2271 0.7500 0.2112
S3 0.2729 0.2500 0.7112
S4 0.4851 0.7500 0.8952
S5 0.5149 0.2500 0.1048
S6 0.7271 0.7500 0.2888
S7 0.7729 0.2500 0.7888
S8 0.9851 0.7500 0.6048

Final energy = -4.34 eV per atom
Mass density = 4.79 Mg/m³
Formation energy (no corrections) = -0.3910 eV per atom
Magnetization = 0.00 μB per cell

***

VASP calculation (GGA-PBE) on a relaxed structure of Sn2SeS.

Lattice parameters (Å, degrees): 5.1126 5.1126 5.1126 60.00 60.00 60.00
Fractional coordinates of all 4 atoms:
Sn1 0.2500 0.2500 0.2500
Sn2 0.7500 0.7500 0.7500
Se1 0.0000 0.0000 0.0000
S1 0.5000 0.5000 0.5000

Energy above the lowest structure with this stoichiometry = 286 meV/atom
Final energy = -4.06 eV per atom
Mass density = 6.12 Mg/m³
Formation energy (no corrections) = -0.1513 eV per atom
Magnetization = 0.00 μB per cell

***

VASP calculation (GGA-PBE) on a relaxed structure of Sn2SeS2.

Lattice parameters (Å, degrees): 7.8472 7.8472 3.8944 90.00 90.00 90.00
Fractional coordinates of all 10 atoms:
Sn1 0.1660 0.3340 0.0000
Sn2 0.3340 0.8340 0.0000
Sn3 0.6660 0.1660 0.0000
Sn4 0.8340 0.6660 0.0000
Se1 0.0000 0.0000 0.5000
Se2 0.5000 0.5000 0.5000
S1 0.1665 0.6665 0.5000
S2 0.3335 0.1665 0.5000
S3 0.6665 0.8335 0.5000
S4 0.8335 0.3335 0.5000

Final energy = -3.96 eV per atom
Mass density = 5.27 Mg/m³
Formation energy (no corrections) = -0.0105 eV per atom
Magnetization = 0.00 μB per cell

***

VASP calculation (GGA-PBE) on a relaxed structure of Sn2SeS.

Lattice parameters (Å, degrees): 8.0833 8.0833 8.0833 131.19 131.19 71.52
Fractional coordinates of all 8 atoms:
Sn1 0.1098 0.6250 0.9848
Sn2 0.3750 0.3598 0.4848
Sn3 0.6402 0.1250 0.0152
Sn4 0.8750 0.8902 0.5152
Se1 0.2500 0.7500 0.5000
Se2 0.5000 0.5000 0.0000
S1 0.0000 0.0000 0.0000
S2 0.7500 0.2500 0.5000

Energy above the lowest structure with this stoichiometry = 253 meV/atom
Final energy = -4.09 eV per atom
Mass density = 3.95 Mg/m³
Formation energy (no corrections) = -0.1842 eV per atom
Magnetization = 0.00 μB per cell

***

VASP calculation (GGA-PBE) on a relaxed structure of SnSeS2.

Lattice parameters (Å, degrees): 3.8355 5.4081 5.7088 99.57 102.48 90.39
Fractional coordinates of all 4 atoms:
Sn1 0.0000 0.0000 0.0000
Se1 0.0807 0.4020 0.3437
S1 0.4046 0.0161 0.7220
S2 0.7267 0.6311 0.1161

Energy above the lowest structure with this stoichiometry = 20 meV/atom
Final energy = -4.06 eV per atom
Mass density = 3.82 Mg/m³
Formation energy (no corrections) = -0.1226 eV per atom
Magnetization = 0.00 μB per cell

***

VASP calculation (GGA-PBE) on a relaxed structure of Sn3Se3S.

Lattice parameters (Å, degrees): 9.0963 4.0106 10.6856 90.00 100.26 90.00
Fractional coordinates of all 14 atoms:
Sn1 0.0541 0.2500 0.2675
Sn2 0.3397 0.7500 0.0694
Sn3 0.3677 0.7500 0.5520
Sn4 0.6323 0.2500 0.4480
Sn5 0.6603 0.2500 0.9306
Sn6 0.9459 0.7500 0.7325
Se1 0.1426 0.2500 0.9968
Se2 0.1661 0.2500 0.5565
Se3 0.4506 0.7500 0.8436
Se4 0.5494 0.2500 0.1564
Se5 0.8339 0.7500 0.4435
Se6 0.8574 0.7500 0.0032
S1 0.2553 0.7500 0.2908
S2 0.7447 0.2500 0.7092

Energy above the lowest structure with this stoichiometry = 0 meV/atom
Final energy = -4.17 eV per atom
Mass density = 5.41 Mg/m³
Formation energy (no corrections) = -0.3746 eV per atom
Magnetization = 0.00 μB per cell

***

VASP calculation (GGA-PBE) on a relaxed structure of SnSe2S6.

Lattice parameters (Å, degrees): 3.8918 7.9830 8.0212 110.03 90.21 90.13
Fractional coordinates of all 9 atoms:
Sn1 0.0000 0.0000 0.0000
Se1 0.4992 0.1419 0.8610
Se2 0.5008 0.8581 0.1390
S1 0.1038 0.7320 0.4771
S2 0.1047 0.4757 0.7305
S3 0.1429 0.3047 0.3049
S4 0.8571 0.6953 0.6951
S5 0.8953 0.5243 0.2695
S6 0.8962 0.2680 0.5229

Final energy = -3.93 eV per atom
Mass density = 3.33 Mg/m³
Formation energy (no corrections) = 0.0364 eV per atom
Magnetization = 0.00 μB per cell

***

VASP calculation (GGA-PBE) on a relaxed structure of Sn5Se4S.

Lattice parameters (Å, degrees): 7.3667 7.3667 10.4111 118.13 118.13 33.52
Fractional coordinates of all 10 atoms:
Sn1 0.0000 0.0000 0.0000
Sn2 0.1972 0.1972 0.7941
Sn3 0.4035 0.4035 0.5958
Sn4 0.5965 0.5965 0.4042
Sn5 0.8028 0.8028 0.2059
Se1 0.1980 0.1980 0.3029
Se2 0.3976 0.3976 0.0979
Se3 0.6024 0.6024 0.9021
Se4 0.8020 0.8020 0.6971
S1 0.0000 0.0000 0.5000

Energy above the lowest structure with this stoichiometry = 0 meV/atom
Final energy = -4.23 eV per atom
Mass density = 5.76 Mg/m³
Formation energy (no corrections) = -0.4252 eV per atom
Magnetization = 0.00 μB per cell

***

VASP calculation (GGA-PBE) on a relaxed structure of SnSe3S.

Lattice parameters (Å, degrees): 4.9288 4.9288 4.9288 90.00 90.00 90.00
Fractional coordinates of all 5 atoms:
Sn1 0.0000 0.0000 0.0000
Se1 0.0000 0.5000 0.5000
Se2 0.5000 0.0000 0.5000
Se3 0.5000 0.5000 0.0000
S1 0.5000 0.5000 0.5000

Energy above the lowest structure with this stoichiometry = 0 meV/atom
Final energy = -3.46 eV per atom
Mass density = 5.38 Mg/m³
Formation energy (no corrections) = 0.2578 eV per atom
Magnetization = 0.00 μB per cell

***

VASP calculation (GGA-PBE) on a relaxed structure of Sn5SeS4.

Lattice parameters (Å, degrees): 7.2065 7.2065 10.1944 118.13 118.13 33.53
Fractional coordinates of all 10 atoms:
Sn1 0.0000 0.0000 0.0000
Sn2 0.2027 0.2027 0.8051
Sn3 0.3972 0.3972 0.6060
Sn4 0.6028 0.6028 0.3940
Sn5 0.7973 0.7973 0.1949
Se1 0.0000 0.0000 0.5000
S1 0.2015 0.2015 0.2957
S2 0.4034 0.4034 0.1032
S3 0.5966 0.5966 0.8968
S4 0.7985 0.7985 0.7043

Energy above the lowest structure with this stoichiometry = 0 meV/atom
Final energy = -4.41 eV per atom
Mass density = 5.22 Mg/m³
Formation energy (no corrections) = -0.4052 eV per atom
Magnetization = 0.00 μB per cell

***

VASP calculation (GGA-PBE) on a relaxed structure of Sn3Se2S.

Lattice parameters (Å, degrees): 7.3409 7.3409 7.3304 99.59 99.59 120.22
Fractional coordinates of all 12 atoms:
Sn1 0.0000 0.5000 0.5000
Sn2 0.1604 0.3212 0.0040
Sn3 0.3212 0.1604 0.5040
Sn4 0.5000 0.0000 0.0000
Sn5 0.6788 0.8396 0.4960
Sn6 0.8396 0.6788 0.9960
Se1 0.2543 0.7457 0.2500
Se2 0.4177 0.5823 0.7500
Se3 0.5823 0.4177 0.2500
Se4 0.7457 0.2543 0.7500
S1 0.0868 0.9132 0.7500
S2 0.9132 0.0868 0.2500

Final energy = -4.27 eV per atom
Mass density = 5.64 Mg/m³
Formation energy (no corrections) = -0.4171 eV per atom
Magnetization = 0.00 μB per cell

***

VASP calculation (GGA-PBE) on a relaxed structure of SrSnSe2S.

Lattice parameters (Å, degrees): 5.1694 5.1694 5.1954 90.00 90.00 90.00
Fractional coordinates of all 5 atoms:
Sr1 0.0000 0.0000 0.0000
Sn1 0.5000 0.5000 0.0000
Se1 0.0000 0.5000 0.5000
Se2 0.5000 0.0000 0.5000
S1 0.5000 0.5000 0.5000

Final energy = -3.64 eV per atom
Mass density = 4.74 Mg/m³
Formation energy (no corrections) = -0.2791 eV per atom
Magnetization = 0.00 μB per cell

***

VASP calculation (GGA-PBE) on a relaxed structure of Ta2SnSe4S2.

Lattice parameters (Å, degrees): 3.5205 3.5205 21.3090 90.00 90.00 120.00
Fractional coordinates of all 9 atoms:
Ta1 0.0000 0.0000 0.0000
Ta2 0.3333 0.6667 0.3316
Sn1 0.3333 0.6667 0.6837
Se1 0.0000 0.0000 0.2535
Se2 0.0000 0.0000 0.4097
Se3 0.3333 0.6667 0.0781
Se4 0.3333 0.6667 0.9221
S1 0.0000 0.0000 0.6074
S2 0.0000 0.0000 0.7601

Final energy = -6.11 eV per atom
Mass density = 6.25 Mg/m³
Formation energy (no corrections) = -0.5677 eV per atom
Magnetization = 0.00 μB per cell

***

VASP calculation (GGA-PBE) on a relaxed structure of Tb4SnSe2S.

Lattice parameters (Å, degrees): 8.3023 8.3023 8.3023 120.19 119.91 89.92
Fractional coordinates of all 16 atoms:
Tb1 0.2557 0.2488 0.4931
Tb2 0.2557 0.7626 0.0069
Tb3 0.2596 0.2476 0.0120
Tb4 0.2644 0.7524 0.5120
Tb5 0.7356 0.2476 0.4880
Tb6 0.7404 0.7524 0.9880
Tb7 0.7443 0.2374 0.9931
Tb8 0.7443 0.7512 0.5069
Sn1 0.0000 0.5000 0.5000
Sn2 0.5000 0.5000 0.0000
Se1 0.0000 0.0000 0.0000
Se2 0.0000 0.0000 0.5000
Se3 0.0000 0.5000 0.0000
Se4 0.5000 0.0000 0.5000
S1 0.5000 0.0000 0.0000
S2 0.5000 0.5000 0.5000

Final energy = -5.76 eV per atom
Mass density = 7.76 Mg/m³
Formation energy (no corrections) = -1.5546 eV per atom
Magnetization = 0.00 μB per cell

***

VASP calculation (GGA-PBE) on a relaxed structure of Tb4SnSeS2.

Lattice parameters (Å, degrees): 7.1122 4.0714 7.1332 90.00 109.30 90.00
Fractional coordinates of all 8 atoms:
Tb1 0.2368 0.0000 0.2283
Tb2 0.2536 0.5000 0.7680
Tb3 0.7464 0.5000 0.2320
Tb4 0.7632 0.0000 0.7717
Sn1 0.5000 0.5000 0.5000
Se1 0.0000 0.0000 0.5000
S1 0.0000 0.5000 0.0000
S2 0.5000 0.0000 0.0000

Final energy = -5.89 eV per atom
Mass density = 7.65 Mg/m³
Formation energy (no corrections) = -1.6055 eV per atom
Magnetization = 0.00 μB per cell

***

VASP calculation (GGA-PBE) on a relaxed structure of Tb6SnSe2S3.

Lattice parameters (Å, degrees): 9.1316 9.1316 8.2227 103.57 103.57 25.47
Fractional coordinates of all 12 atoms:
Tb1 0.0031 0.0031 0.2329
Tb2 0.3275 0.3275 0.4305
Tb3 0.3389 0.3389 0.9060
Tb4 0.6611 0.6611 0.0940
Tb5 0.6725 0.6725 0.5695
Tb6 0.9969 0.9969 0.7671
Sn1 0.5000 0.5000 0.5000
Se1 0.1696 0.1696 0.8364
Se2 0.8304 0.8304 0.1636
S1 0.1664 0.1664 0.3287
S2 0.5000 0.5000 0.0000
S3 0.8336 0.8336 0.6713

Final energy = -5.97 eV per atom
Mass density = 7.70 Mg/m³
Formation energy (no corrections) = -1.7053 eV per atom
Magnetization = 0.00 μB per cell

***

VASP calculation (GGA-PBE) on a relaxed structure of Sn4TeSeS2.

Lattice parameters (Å, degrees): 7.3805 4.2680 7.3993 90.00 109.52 90.00
Fractional coordinates of all 8 atoms:
Sn1 0.2284 0.0000 0.2354
Sn2 0.2345 0.5000 0.7513
Sn3 0.7655 0.5000 0.2487
Sn4 0.7716 0.0000 0.7646
Te1 0.5000 0.5000 0.5000
Se1 0.5000 0.0000 0.0000
S1 0.0000 0.0000 0.5000
S2 0.0000 0.5000 0.0000

Final energy = -4.22 eV per atom
Mass density = 5.64 Mg/m³
Formation energy (no corrections) = -0.3606 eV per atom
Magnetization = 0.00 μB per cell

***

VASP calculation (GGA-PBE) on a relaxed structure of Sn4Te2SeS.

Lattice parameters (Å, degrees): 7.5447 4.3663 7.5648 90.00 109.50 90.00
Fractional coordinates of all 8 atoms:
Sn1 0.2266 0.0000 0.2373
Sn2 0.2296 0.5000 0.7483
Sn3 0.7704 0.5000 0.2517
Sn4 0.7734 0.0000 0.7627
Te1 0.5000 0.0000 0.0000
Te2 0.5000 0.5000 0.5000
Se1 0.0000 0.0000 0.5000
S1 0.0000 0.5000 0.0000

Final energy = -4.08 eV per atom
Mass density = 5.95 Mg/m³
Formation energy (no corrections) = -0.3368 eV per atom
Magnetization = 0.00 μB per cell